A relaxed structure of Ta3P5. Source: the Alexandria database, functional PBE.

Geometry as POSCAR:
```
Ta3P5
1.0
7.760 0.000 0.000
-3.880 6.720 0.000
0.000 0.000 4.926
Ta P
6 10
Cartesian
-1.459 2.527 1.232
-2.421 4.193 3.695
2.918 0.000 1.232
1.459 2.527 3.695
4.842 0.000 3.695
2.421 4.193 1.232
-1.045 1.810 3.695
-2.835 4.910 1.232
2.090 0.000 3.695
1.045 1.810 1.232
0.000 4.480 0.000
0.000 4.480 2.463
3.880 2.240 0.000
3.880 2.240 2.463
5.669 0.000 1.232
2.835 4.910 3.695
```

Computed properties:
formation energy = -0.26 eV per atom
calculated total energy = -0.297 Ha/atom